1.
# Na2DyErO4 PBE relaxed
# E = -6.77 eV/atom
# Formation energy from raw total energies = -2820.4 meV per atom
# Calculated volume = 112 Å³/cell
# Density of states at the Fermi level = 0.00 states/eV/cell
# Magnetization = 0.0 Bohr magnetons per cell
data_Na2DyErO4
_chemical_formula_sum 'Na2 Dy1 Er1 O4'
_cell_length_a 5.9040
_cell_length_b 3.4088
_cell_length_c 5.9133
_cell_angle_alpha 90.00
_cell_angle_beta 109.43
_cell_angle_gamma 90.00
_symmetry_space_group_name_H-M 'P 1 2/m 1'
_symmetry_Int_Tables_number 10
_symmetry_space_group_name_Hall '-P 2y'
loop_
_atom_site_label
_atom_site_fract_x
_atom_site_fract_y
_atom_site_fract_z
Na1 0.0000 0.0000 0.0000
Na2 0.5000 0.5000 0.0000
Dy1 0.0000 0.5000 0.5000
Er1 0.5000 0.0000 0.5000
O1 0.2391 0.0000 0.7105
O2 0.2656 0.5000 0.2901

=====

2.
# Mg4FePb PBE relaxed
# Calculated formation energy = 68 meV/atom
# E = -3.02 eV/atom
# Calculated volume = 526 Å³/cell
# Density of states at the Fermi level = 14.77 states/eV/cell
# Magnetization = 8.0 Bohr magnetons per cell
data_Mg4FePb
_chemical_formula_sum 'Mg16 Fe4 Pb4'
_cell_length_a 14.7989
_cell_length_b 7.6058
_cell_length_c 4.9433
_cell_angle_alpha 90.00
_cell_angle_beta 109.12
_cell_angle_gamma 90.00
_symmetry_space_group_name_H-M 'C 1 2/m 1'
_symmetry_Int_Tables_number 12
_symmetry_space_group_name_Hall '-C 2y'
loop_
_atom_site_label
_atom_site_fract_x
_atom_site_fract_y
_atom_site_fract_z
Mg1 0.0000 0.1985 0.0000
Mg2 0.1280 0.2637 0.6260
Mg3 0.1734 0.5000 0.1721
Fe1 0.9998 0.5000 0.2592
Pb1 0.1867 0.0000 0.1894